## a
A plane-wave DFT calculation with PBE-GGA was carried out for a relaxed structure of TbSm3Sn2.

Unit cell a=7.292 b=7.769 c=9.085 alpha=115.31 beta=113.66 gamma=90.00
Fractional positions:
Tb (0.000, 0.500, 0.000)
Tb (0.000, 0.000, 0.000)
Sm (0.500, 0.250, 0.000)
Sm (0.500, 0.750, 0.000)
Sm (0.788, 0.038, 0.577)
Sm (0.212, 0.462, 0.423)
Sm (0.212, 0.962, 0.423)
Sm (0.788, 0.538, 0.577)
Sn (0.541, 0.358, 0.717)
Sn (0.824, 0.142, 0.283)
Sn (0.176, 0.858, 0.717)
Sn (0.459, 0.642, 0.283)

- V (Å³ per atom) = 34.742


## b
A plane-wave DFT calculation with PBE-GGA was carried out for a relaxed structure of TbSm3Sn2.

Unit cell a=4.589 b=4.589 c=8.681 alpha=90.00 beta=90.00 gamma=90.00
Fractional positions:
Tb (0.500, 0.500, 0.000)
Sm (0.500, 0.000, 0.349)
Sm (0.000, 0.500, 0.651)
Sm (0.000, 0.000, 0.000)
Sn (0.500, 0.000, 0.721)
Sn (0.000, 0.500, 0.279)

- V (Å³ per atom) = 30.470


b ends up most stable, edging out the next structure by 0.252 eV/atom.